[1]
A geometry-optimized BaLi8Rh4 structure, computed with PBE.

Lattice parameters (Å, degrees): 7.0653 7.0653 7.0653 97.36 97.36 138.05
Sites, in units of the cell vectors:
Ba1 0.0000 0.0000 0.0000
Li1 0.0000 0.3452 0.3452
Li2 0.0000 0.6548 0.6548
Li3 0.2572 0.5000 0.7572
Li4 0.3452 0.0000 0.3452
Li5 0.5000 0.2572 0.7572
Li6 0.5000 0.7428 0.2428
Li7 0.6548 0.0000 0.6548
Li8 0.7428 0.5000 0.2428
Rh1 0.0000 0.0000 0.5000
Rh2 0.0000 0.5000 0.0000
Rh3 0.5000 0.0000 0.0000
Rh4 0.5000 0.5000 0.5000

Values from the calculation:
Its calculated volume is 16.93 Å³/atom. The formation energy comes out at -1.999 eV per formula unit.


[2]
A geometry-optimized BaLi3Rh structure, computed with PBE.

Lattice parameters (Å, degrees): 5.8658 5.9207 7.2600 90.00 111.92 90.00
Sites, in units of the cell vectors:
Ba1 0.1858 0.2500 0.1269
Ba2 0.8142 0.7500 0.8731
Li1 0.2399 0.0066 0.6949
Li2 0.2399 0.4934 0.6949
Li3 0.3560 0.7500 0.3683
Li4 0.6440 0.2500 0.6317
Li5 0.7601 0.5066 0.3051
Li6 0.7601 0.9934 0.3051
Rh1 0.4188 0.7500 0.0317
Rh2 0.5812 0.2500 0.9683

Values from the calculation:
Its calculated volume is 23.39 Å³/atom. The excess energy over the best structure of this formula in the dataset comes out at 2.4 meV/atom. The formation energy comes out at -0.220 eV per formula unit.